Here is Zn2In at its PBEsol-relaxed geometry from the Alexandria database. Energies are from SCAN.

Values from the calculation:
As for the space group: No. 227. The calculation puts the total energy at -20.009 eV/atom.

Cell: 5.320 5.320 5.320 Å, 60.00 60.00 60.00°
Atoms (fractional coordinates):
Zn (0.125, 0.125, 0.125)
Zn (0.125, 0.125, 0.625)
Zn (0.125, 0.625, 0.125)
Zn (0.625, 0.125, 0.125)
In (0.500, 0.500, 0.500)
In (0.750, 0.750, 0.750)


Here is ScTi2InC at its PBEsol-relaxed geometry from the Alexandria database. Energies are from SCAN.

Values from the calculation:
As for the space group: No. 123. The energy above the most stable polymorph in this dataset is 2.130 eV/atom.

Cell: 4.217 4.690 4.690 Å, 90.00 90.00 90.00°
Atoms (fractional coordinates):
Sc (0.000, 0.000, 0.000)
C (0.500, 0.000, 0.000)
Ti (0.000, 0.000, 0.500)
Ti (0.000, 0.500, 0.000)
In (0.500, 0.500, 0.500)


no.,ρ (g/cm3),calculated volume (Å³/cell)
1,7.7,106.5
2,4.8,92.8